*w*
{
  "formula": "Li2DyGa",
  "functional": "GGA-PBE",
  "state": "relaxed",
  "magnetic_moment_mub_per_cell": 0.5,
  "dos_at_fermi_per_ev_fu": 5.4,
  "lattice_angstrom": [[4.878, 0.000, 0.000], [0.000, 4.234, 0.000], [0.000, 0.000, 4.234]],
  "species": ["Li", "Li", "Dy", "Ga"],
  "fractional_positions": [[0.000, 0.000, 0.500], [0.000, 0.500, 0.000], [0.500, 0.000, 0.000], [0.500, 0.500, 0.500]]
}



*x*
{
  "formula": "Li2DyGa",
  "functional": "GGA-PBE",
  "state": "relaxed",
  "magnetic_moment_mub_per_cell": 0.0,
  "dos_at_fermi_per_ev_fu": 2.6,
  "lattice_angstrom": [[4.317, 0.000, 2.142], [1.627, 3.998, 2.142], [0.306, 0.206, 4.805]],
  "species": ["Dy", "Ga", "Li", "Li"],
  "fractional_positions": [[0.717, 0.717, 0.848], [0.467, 0.467, 0.598], [0.217, 0.217, 0.348], [0.967, 0.967, 0.098]]
}



*y*
{
  "formula": "Li2DyGa",
  "functional": "GGA-PBE",
  "state": "relaxed",
  "magnetic_moment_mub_per_cell": 0.0,
  "dos_at_fermi_per_ev_fu": 1.6,
  "lattice_angstrom": [[-4.491, -0.598, -1.129], [-3.154, -0.844, 3.337], [-3.144, 3.265, 1.121]],
  "species": ["Dy", "Ga", "Li", "Li"],
  "fractional_positions": [[0.000, 0.000, 0.000], [0.500, 0.500, 0.500], [0.750, 0.750, 0.750], [0.250, 0.250, 0.250]]
}



Relative calculated energies, zero for the most stable structure, unit meV/atom: *w* 147; *x* 0; *y* 10.



*w*
{
  "formula": "LiDy3Ga2",
  "functional": "GGA-PBE",
  "state": "relaxed",
  "magnetic_moment_mub_per_cell": 0.0,
  "dos_at_fermi_per_ev_fu": 4.7,
  "lattice_angstrom": [[5.076, 0.000, 0.000], [-2.538, 4.396, 0.000], [0.000, 0.000, 12.481]],
  "species": ["Dy", "Dy", "Dy", "Dy", "Dy", "Dy", "Li", "Li", "Ga", "Ga", "Ga", "Ga"],
  "fractional_positions": [[0.667, 0.333, 0.078], [0.333, 0.667, 0.922], [0.333, 0.667, 0.418], [0.667, 0.333, 0.582], [0.000, 0.000, 0.756], [0.000, 0.000, 0.244], [0.333, 0.667, 0.673], [0.667, 0.333, 0.327], [0.000, 0.000, 0.500], [0.667, 0.333, 0.821], [0.333, 0.667, 0.179], [0.000, 0.000, 0.000]]
}



*x*
{
  "formula": "LiDy3Ga2",
  "functional": "GGA-PBE",
  "state": "relaxed",
  "magnetic_moment_mub_per_cell": 0.0,
  "dos_at_fermi_per_ev_fu": 5.0,
  "lattice_angstrom": [[-5.637, -1.995, -1.628], [3.299, -6.298, -3.704], [1.657, -0.602, 6.796]],
  "species": ["Ga", "Ga", "Ga", "Ga", "Dy", "Dy", "Dy", "Dy", "Dy", "Dy", "Li", "Li"],
  "fractional_positions": [[0.618, 0.057, 0.231], [0.387, 0.443, 0.769], [0.382, 0.943, 0.769], [0.613, 0.557, 0.231], [0.214, 0.104, 0.412], [0.232, 0.750, 0.000], [0.198, 0.604, 0.412], [0.786, 0.896, 0.588], [0.768, 0.250, 0.000], [0.802, 0.396, 0.588], [0.270, 0.250, 0.000], [0.730, 0.750, 0.000]]
}



Relative calculated energies, zero for the most stable structure, unit meV/atom: *w* 0; *x* 122.



*w*
{
  "formula": "Li2DyGa2",
  "functional": "GGA-PBE",
  "state": "relaxed",
  "magnetic_moment_mub_per_cell": 0.0,
  "dos_at_fermi_per_ev_fu": 2.3,
  "lattice_angstrom": [[-3.758, 0.465, 2.366], [0.907, -2.767, 1.985], [7.394, 8.826, 5.797]],
  "species": ["Ga", "Ga", "Ga", "Ga", "Li", "Li", "Li", "Li", "Dy", "Dy"],
  "fractional_positions": [[0.379, 0.129, 0.757], [0.723, 0.973, 0.447], [0.621, 0.871, 0.243], [0.277, 0.027, 0.553], [0.545, 0.295, 0.089], [0.455, 0.705, 0.911], [0.057, 0.807, 0.114], [0.943, 0.193, 0.886], [0.173, 0.423, 0.346], [0.827, 0.577, 0.654]]
}



*x*
{
  "formula": "Li2DyGa2",
  "functional": "GGA-PBE",
  "state": "relaxed",
  "magnetic_moment_mub_per_cell": 0.0,
  "dos_at_fermi_per_ev_fu": 2.2,
  "lattice_angstrom": [[-2.178, -1.107, 2.329], [1.020, -4.300, -1.090], [9.147, 0.001, 8.556]],
  "species": ["Ga", "Ga", "Ga", "Ga", "Li", "Li", "Li", "Li", "Dy", "Dy"],
  "fractional_positions": [[0.750, 0.250, 0.346], [0.250, 0.750, 0.654], [0.750, 0.750, 0.036], [0.250, 0.250, 0.964], [0.750, 0.750, 0.481], [0.750, 0.250, 0.135], [0.250, 0.250, 0.519], [0.250, 0.750, 0.865], [0.750, 0.250, 0.750], [0.250, 0.750, 0.250]]
}



Relative calculated energies, zero for the most stable structure, unit meV/atom: *w* 0; *x* 66.



*w*
{
  "formula": "LiDyGa2",
  "functional": "GGA-PBE",
  "state": "relaxed",
  "magnetic_moment_mub_per_cell": 0.0,
  "dos_at_fermi_per_ev_fu": 1.4,
  "lattice_angstrom": [[3.790, 0.000, 0.000], [0.000, 7.309, 0.000], [0.000, 0.000, 11.576]],
  "species": ["Li", "Li", "Li", "Li", "Ga", "Ga", "Ga", "Ga", "Ga", "Ga", "Ga", "Ga", "Dy", "Dy", "Dy", "Dy"],
  "fractional_positions": [[0.250, 0.118, 0.546], [0.750, 0.882, 0.454], [0.250, 0.618, 0.954], [0.750, 0.382, 0.046], [0.250, 0.033, 0.328], [0.250, 0.186, 0.133], [0.250, 0.533, 0.172], [0.250, 0.686, 0.367], [0.750, 0.814, 0.867], [0.750, 0.467, 0.828], [0.750, 0.314, 0.633], [0.750, 0.967, 0.672], [0.250, 0.140, 0.860], [0.250, 0.640, 0.640], [0.750, 0.360, 0.360], [0.750, 0.860, 0.140]]
}



*x*
{
  "formula": "LiDyGa2",
  "functional": "GGA-PBE",
  "state": "relaxed",
  "magnetic_moment_mub_per_cell": 0.0,
  "dos_at_fermi_per_ev_fu": 0.8,
  "lattice_angstrom": [[-4.599, -0.318, 1.390], [-1.086, -0.278, 4.683], [-2.111, 3.723, 2.208]],
  "species": ["Li", "Ga", "Ga", "Dy"],
  "fractional_positions": [[0.500, 0.500, 0.500], [0.750, 0.750, 0.750], [0.250, 0.250, 0.250], [0.000, 0.000, 0.000]]
}



Relative calculated energies, zero for the most stable structure, unit meV/atom: *w* 22; *x* 0.



*w*
{
  "formula": "LiDyGa2",
  "functional": "GGA-PBE",
  "state": "relaxed",
  "magnetic_moment_mub_per_cell": 0.0,
  "dos_at_fermi_per_ev_fu": 0.4,
  "lattice_angstrom": [[3.649, 0.000, 0.000], [0.000, 4.720, 0.000], [0.000, 0.000, 4.720]],
  "species": ["Dy", "Ga", "Ga", "Li"],
  "fractional_positions": [[0.500, 0.500, 0.500], [0.000, 0.000, 0.500], [0.000, 0.500, 0.000], [0.500, 0.000, 0.000]]
}



*x*
{
  "formula": "LiDyGa2",
  "functional": "GGA-PBE",
  "state": "relaxed",
  "magnetic_moment_mub_per_cell": 0.0,
  "dos_at_fermi_per_ev_fu": 2.0,
  "lattice_angstrom": [[-0.488, -0.810, 3.225], [-3.163, -0.891, -0.702], [2.061, -6.317, -1.275]],
  "species": ["Ga", "Ga", "Li", "Dy"],
  "fractional_positions": [[0.000, 0.000, 0.204], [0.000, 0.000, 0.796], [0.500, 0.500, 0.000], [0.500, 0.500, 0.500]]
}



Relative calculated energies, zero for the most stable structure, unit meV/atom: *w* 0; *x* 7.



*w*
{
  "formula": "Li3DyGa3",
  "functional": "GGA-PBE",
  "state": "relaxed",
  "magnetic_moment_mub_per_cell": 0.0,
  "dos_at_fermi_per_ev_fu": 3.1,
  "lattice_angstrom": [[6.626, 0.000, 0.000], [0.000, 6.626, 0.000], [0.000, 0.000, 6.626]],
  "species": ["Ga", "Ga", "Ga", "Ga", "Ga", "Ga", "Li", "Li", "Li", "Li", "Li", "Li", "Dy", "Dy"],
  "fractional_positions": [[0.500, 0.000, 0.750], [0.000, 0.750, 0.500], [0.500, 0.000, 0.250], [0.000, 0.250, 0.500], [0.750, 0.500, 0.000], [0.250, 0.500, 0.000], [0.250, 0.000, 0.500], [0.000, 0.500, 0.250], [0.500, 0.250, 0.000], [0.000, 0.500, 0.750], [0.750, 0.000, 0.500], [0.500, 0.750, 0.000], [0.500, 0.500, 0.500], [0.000, 0.000, 0.000]]
}



*x*
{
  "formula": "Li3DyGa3",
  "functional": "GGA-PBE",
  "state": "relaxed",
  "magnetic_moment_mub_per_cell": 0.0,
  "dos_at_fermi_per_ev_fu": 2.1,
  "lattice_angstrom": [[4.437, 0.000, 0.000], [0.000, 7.291, -4.163], [0.000, -0.026, 8.423]],
  "species": ["Ga", "Ga", "Ga", "Ga", "Ga", "Ga", "Li", "Li", "Li", "Li", "Li", "Li", "Dy", "Dy"],
  "fractional_positions": [[0.750, 0.928, 0.388], [0.250, 0.387, 0.459], [0.250, 0.542, 0.929], [0.750, 0.613, 0.541], [0.750, 0.458, 0.071], [0.250, 0.072, 0.612], [0.750, 0.256, 0.234], [0.750, 0.978, 0.744], [0.750, 0.768, 0.023], [0.250, 0.022, 0.256], [0.250, 0.232, 0.977], [0.250, 0.744, 0.766], [0.750, 0.334, 0.667], [0.250, 0.666, 0.333]]
}



Relative calculated energies, zero for the most stable structure, unit meV/atom: *w* 514; *x* 0.